A plane-wave DFT calculation with PBE was carried out for KGd2CuSe4 after structural relaxation.

The structure in POSCAR format:
```
KGd2CuSe4
1.0
2.078 -7.114 0.000
2.078 7.114 0.000
0.000 0.000 14.447
K Gd Cu Se
2 4 2 8
Direct
0.111 0.889 0.750 K
0.889 0.111 0.250 K
0.366 0.634 0.564 Gd
0.366 0.634 0.936 Gd
0.634 0.366 0.064 Gd
0.634 0.366 0.436 Gd
0.160 0.840 0.250 Cu
0.840 0.160 0.750 Cu
0.000 0.000 0.000 Se
0.000 0.000 0.500 Se
0.264 0.736 0.113 Se
0.264 0.736 0.387 Se
0.434 0.566 0.750 Se
0.566 0.434 0.250 Se
0.736 0.264 0.613 Se
0.736 0.264 0.887 Se
```

Results
* raw formation energy: -1.53 eV/atom
* total DFT energy (no corrections): -119.10 eV for the cell shown

***

A plane-wave DFT calculation with PBE was carried out for LaGdCu after structural relaxation.

The structure in POSCAR format:
```
LaGdCu
1.0
3.729 0.000 0.000
-1.865 3.230 0.000
0.000 0.000 7.117
La Gd Cu
1 1 1
Direct
0.000 0.000 0.000 La
0.333 0.667 0.572 Gd
0.667 0.333 0.298 Cu
```

Results
* total DFT energy (no corrections): -22.96 eV for the cell shown

***

A plane-wave DFT calculation with PBE was carried out for LaGdCu after structural relaxation.

The structure in POSCAR format:
```
LaGdCu
1.0
3.619 0.000 0.000
0.000 3.619 0.000
0.000 0.000 12.408
La Gd Cu
2 2 2
Direct
0.000 0.000 0.000 La
0.500 0.500 0.500 La
0.000 0.000 0.280 Gd
0.500 0.500 0.780 Gd
0.000 0.000 0.652 Cu
0.500 0.500 0.152 Cu
```

Results
* total DFT energy (no corrections): -46.79 eV for the cell shown

***

A plane-wave DFT calculation with PBE was carried out for LaGdCuNi after structural relaxation.

The structure in POSCAR format:
```
LaGdCuNi
1.0
7.069 0.000 0.000
0.000 7.069 0.000
0.000 0.000 7.069
La Gd Cu Ni
4 4 4 4
Direct
0.000 0.000 0.000 La
0.000 0.500 0.500 La
0.500 0.000 0.500 La
0.500 0.500 0.000 La
0.000 0.000 0.500 Gd
0.000 0.500 0.000 Gd
0.500 0.000 0.000 Gd
0.500 0.500 0.500 Gd
0.250 0.250 0.250 Cu
0.250 0.750 0.750 Cu
0.750 0.250 0.750 Cu
0.750 0.750 0.250 Cu
0.250 0.250 0.750 Ni
0.250 0.750 0.250 Ni
0.750 0.250 0.250 Ni
0.750 0.750 0.750 Ni
```

Results
* total DFT energy (no corrections): -119.09 eV for the cell shown

***

A plane-wave DFT calculation with PBE was carried out for LaGdCuPb after structural relaxation.

The structure in POSCAR format:
```
LaGdCuPb
1.0
7.598 0.000 0.000
0.000 7.598 0.000
0.000 0.000 7.598
La Gd Cu Pb
4 4 4 4
Direct
0.000 0.000 0.000 La
0.000 0.500 0.500 La
0.500 0.000 0.500 La
0.500 0.500 0.000 La
0.000 0.000 0.500 Gd
0.000 0.500 0.000 Gd
0.500 0.000 0.000 Gd
0.500 0.500 0.500 Gd
0.250 0.250 0.750 Cu
0.250 0.750 0.250 Cu
0.750 0.250 0.250 Cu
0.750 0.750 0.750 Cu
0.250 0.250 0.250 Pb
0.250 0.750 0.750 Pb
0.750 0.250 0.750 Pb
0.750 0.750 0.250 Pb
```

Results
* total DFT energy (no corrections): -112.51 eV for the cell shown

***

A plane-wave DFT calculation with PBE was carried out for LaGdCuPd after structural relaxation.

The structure in POSCAR format:
```
LaGdCuPd
1.0
7.213 0.000 0.000
0.000 7.213 0.000
0.000 0.000 7.213
La Gd Cu Pd
4 4 4 4
Direct
0.000 0.000 0.000 La
0.000 0.500 0.500 La
0.500 0.000 0.500 La
0.500 0.500 0.000 La
0.000 0.000 0.500 Gd
0.000 0.500 0.000 Gd
0.500 0.000 0.000 Gd
0.500 0.500 0.500 Gd
0.250 0.250 0.750 Cu
0.250 0.750 0.250 Cu
0.750 0.250 0.250 Cu
0.750 0.750 0.750 Cu
0.250 0.250 0.250 Pd
0.250 0.750 0.750 Pd
0.750 0.250 0.750 Pd
0.750 0.750 0.250 Pd
```

Results
* total DFT energy (no corrections): -120.84 eV for the cell shown

***

A plane-wave DFT calculation with PBE was carried out for LaGdCuPt after structural relaxation.

The structure in POSCAR format:
```
LaGdCuPt
1.0
7.186 0.000 0.000
0.000 7.186 0.000
0.000 0.000 7.186
La Gd Cu Pt
4 4 4 4
Direct
0.000 0.000 0.000 La
0.000 0.500 0.500 La
0.500 0.000 0.500 La
0.500 0.500 0.000 La
0.000 0.000 0.500 Gd
0.000 0.500 0.000 Gd
0.500 0.000 0.000 Gd
0.500 0.500 0.500 Gd
0.250 0.250 0.750 Cu
0.250 0.750 0.250 Cu
0.750 0.250 0.250 Cu
0.750 0.750 0.750 Cu
0.250 0.250 0.250 Pt
0.250 0.750 0.750 Pt
0.750 0.250 0.750 Pt
0.750 0.750 0.250 Pt
```

Results
* total DFT energy (no corrections): -127.23 eV for the cell shown

***

A plane-wave DFT calculation with PBE was carried out for LaGdCuRh after structural relaxation.

The structure in POSCAR format:
```
LaGdCuRh
1.0
7.117 0.000 0.000
0.000 7.117 0.000
0.000 0.000 7.117
La Gd Cu Rh
4 4 4 4
Direct
0.000 0.000 0.000 La
0.000 0.500 0.500 La
0.500 0.000 0.500 La
0.500 0.500 0.000 La
0.000 0.000 0.500 Gd
0.000 0.500 0.000 Gd
0.500 0.000 0.000 Gd
0.500 0.500 0.500 Gd
0.250 0.250 0.250 Cu
0.250 0.750 0.750 Cu
0.750 0.250 0.750 Cu
0.750 0.750 0.250 Cu
0.250 0.250 0.750 Rh
0.250 0.750 0.250 Rh
0.750 0.250 0.250 Rh
0.750 0.750 0.750 Rh
```

Results
* total DFT energy (no corrections): -129.11 eV for the cell shown

***

A plane-wave DFT calculation with PBE was carried out for LaGdCuSi after structural relaxation.

The structure in POSCAR format:
```
LaGdCuSi
1.0
7.210 0.000 0.000
0.000 7.210 0.000
0.000 0.000 7.210
La Gd Cu Si
4 4 4 4
Direct
0.000 0.000 0.000 La
0.000 0.500 0.500 La
0.500 0.000 0.500 La
0.500 0.500 0.000 La
0.000 0.000 0.500 Gd
0.000 0.500 0.000 Gd
0.500 0.000 0.000 Gd
0.500 0.500 0.500 Gd
0.250 0.250 0.750 Cu
0.250 0.750 0.250 Cu
0.750 0.250 0.250 Cu
0.750 0.750 0.750 Cu
0.250 0.250 0.250 Si
0.250 0.750 0.750 Si
0.750 0.250 0.750 Si
0.750 0.750 0.250 Si
```

Results
* raw formation energy: -0.40 eV/atom
* total DFT energy (no corrections): -120.48 eV for the cell shown

***

A plane-wave DFT calculation with PBE was carried out for LiGdCu2 after structural relaxation.

The structure in POSCAR format:
```
LiGdCu2
1.0
4.694 0.000 0.000
0.000 4.694 0.000
0.000 0.000 3.357
Li Gd Cu
1 1 2
Direct
0.000 0.000 0.000 Li
0.500 0.500 0.000 Gd
0.000 0.500 0.500 Cu
0.500 0.000 0.500 Cu
```

Results
* total DFT energy (no corrections): -24.20 eV for the cell shown

***

A plane-wave DFT calculation with PBE was carried out for LiGdCu2 after structural relaxation.

The structure in POSCAR format:
```
LiGdCu2
1.0
6.641 0.000 0.000
0.000 6.641 0.000
0.000 0.000 6.641
Li Gd Cu
4 4 8
Direct
0.000 0.000 0.000 Li
0.000 0.500 0.500 Li
0.500 0.000 0.500 Li
0.500 0.500 0.000 Li
0.000 0.000 0.500 Gd
0.000 0.500 0.000 Gd
0.500 0.000 0.000 Gd
0.500 0.500 0.500 Gd
0.250 0.250 0.250 Cu
0.250 0.250 0.750 Cu
0.250 0.750 0.250 Cu
0.250 0.750 0.750 Cu
0.750 0.250 0.250 Cu
0.750 0.250 0.750 Cu
0.750 0.750 0.250 Cu
0.750 0.750 0.750 Cu
```

Results
* total DFT energy (no corrections): -97.68 eV for the cell shown

***

A plane-wave DFT calculation with PBE was carried out for LiGdCu4 after structural relaxation.

The structure in POSCAR format:
```
LiGdCu4
1.0
0.000 3.593 3.593
3.593 0.000 3.593
3.593 3.593 0.000
Li Gd Cu
1 1 4
Direct
0.000 0.000 0.000 Li
0.250 0.250 0.250 Gd
0.121 0.626 0.626 Cu
0.626 0.121 0.626 Cu
0.626 0.626 0.121 Cu
0.626 0.626 0.626 Cu
```

Results
* total DFT energy (no corrections): -33.38 eV for the cell shown

***

A plane-wave DFT calculation with PBE was carried out for LiGdCu2 after structural relaxation.

The structure in POSCAR format:
```
LiGdCu2
1.0
3.345 0.000 0.000
0.000 3.345 0.000
0.000 0.000 6.283
Li Gd Cu
1 1 2
Direct
0.000 0.000 0.000 Li
0.000 0.000 0.500 Gd
0.500 0.500 0.200 Cu
0.500 0.500 0.800 Cu
```

Results
* total DFT energy (no corrections): -24.45 eV for the cell shown

***

A plane-wave DFT calculation with PBE was carried out for LiGd2Cu after structural relaxation.

The structure in POSCAR format:
```
LiGd2Cu
1.0
3.592 0.000 0.000
0.000 3.592 0.000
0.000 0.000 7.334
Li Gd Cu
1 2 1
Direct
0.000 0.000 0.000 Li
0.500 0.500 0.275 Gd
0.500 0.500 0.725 Gd
0.000 0.000 0.500 Cu
```

Results
* total DFT energy (no corrections): -34.38 eV for the cell shown

***

A plane-wave DFT calculation with PBE was carried out for Li4GdCu after structural relaxation.

The structure in POSCAR format:
```
Li4GdCu
1.0
0.000 3.792 3.792
3.792 0.000 3.792
3.792 3.792 0.000
Li Gd Cu
4 1 1
Direct
0.377 0.377 0.377 Li
0.377 0.377 0.868 Li
0.377 0.868 0.377 Li
0.868 0.377 0.377 Li
0.000 0.000 0.000 Gd
0.750 0.750 0.750 Cu
```

Results
* total DFT energy (no corrections): -25.08 eV for the cell shown

***

A plane-wave DFT calculation with PBE was carried out for LiGd2Cu after structural relaxation.

The structure in POSCAR format:
```
LiGd2Cu
1.0
3.469 0.000 0.000
-1.735 3.005 0.000
0.000 0.000 32.078
Li Gd Cu
3 6 3
Direct
0.000 0.000 0.000 Li
0.333 0.667 0.667 Li
0.667 0.333 0.333 Li
0.000 0.000 0.102 Gd
0.000 0.000 0.898 Gd
0.333 0.667 0.565 Gd
0.333 0.667 0.769 Gd
0.667 0.333 0.231 Gd
0.667 0.333 0.435 Gd
0.000 0.000 0.500 Cu
0.333 0.667 0.167 Cu
0.667 0.333 0.833 Cu
```

Results
* total DFT energy (no corrections): -99.90 eV for the cell shown

***

A plane-wave DFT calculation with PBE was carried out for LiGdCu2 after structural relaxation.

The structure in POSCAR format:
```
LiGdCu2
1.0
4.278 0.000 0.000
-2.139 3.705 0.000
0.000 0.000 13.848
Li Gd Cu
3 3 6
Direct
0.000 0.000 0.000 Li
0.333 0.667 0.667 Li
0.667 0.333 0.333 Li
0.000 0.000 0.500 Gd
0.333 0.667 0.167 Gd
0.667 0.333 0.833 Gd
0.000 0.000 0.294 Cu
0.000 0.000 0.706 Cu
0.333 0.667 0.373 Cu
0.333 0.667 0.960 Cu
0.667 0.333 0.040 Cu
0.667 0.333 0.627 Cu
```

Results
* total DFT energy (no corrections): -73.94 eV for the cell shown

***

A plane-wave DFT calculation with PBE was carried out for LiGdMgCu after structural relaxation.

The structure in POSCAR format:
```
LiGdMgCu
1.0
6.938 0.000 0.000
0.000 6.938 0.000
0.000 0.000 6.938
Li Gd Mg Cu
4 4 4 4
Direct
0.000 0.000 0.000 Li
0.000 0.500 0.500 Li
0.500 0.000 0.500 Li
0.500 0.500 0.000 Li
0.000 0.000 0.500 Gd
0.000 0.500 0.000 Gd
0.500 0.000 0.000 Gd
0.500 0.500 0.500 Gd
0.250 0.250 0.750 Mg
0.250 0.750 0.250 Mg
0.750 0.250 0.250 Mg
0.750 0.750 0.750 Mg
0.250 0.250 0.250 Cu
0.250 0.750 0.750 Cu
0.750 0.250 0.750 Cu
0.750 0.750 0.250 Cu
```

Results
* total DFT energy (no corrections): -86.09 eV for the cell shown

***

A plane-wave DFT calculation with PBE was carried out for LiNdGdCu after structural relaxation.

The structure in POSCAR format:
```
LiNdGdCu
1.0
7.260 0.000 0.000
0.000 7.260 0.000
0.000 0.000 7.260
Li Nd Gd Cu
4 4 4 4
Direct
0.000 0.000 0.000 Li
0.000 0.500 0.500 Li
0.500 0.000 0.500 Li
0.500 0.500 0.000 Li
0.250 0.250 0.250 Nd
0.250 0.750 0.750 Nd
0.750 0.250 0.750 Nd
0.750 0.750 0.250 Nd
0.250 0.250 0.750 Gd
0.250 0.750 0.250 Gd
0.750 0.250 0.250 Gd
0.750 0.750 0.750 Gd
0.000 0.000 0.500 Cu
0.000 0.500 0.000 Cu
0.500 0.000 0.000 Cu
0.500 0.500 0.500 Cu
```

Results
* total DFT energy (no corrections): -99.54 eV for the cell shown

***

A plane-wave DFT calculation with PBE was carried out for LiGdCuNi after structural relaxation.

The structure in POSCAR format:
```
LiGdCuNi
1.0
6.394 0.000 0.000
0.000 6.394 0.000
0.000 0.000 6.394
Li Gd Cu Ni
4 4 4 4
Direct
0.000 0.000 0.000 Li
0.000 0.500 0.500 Li
0.500 0.000 0.500 Li
0.500 0.500 0.000 Li
0.250 0.250 0.750 Gd
0.250 0.750 0.250 Gd
0.750 0.250 0.250 Gd
0.750 0.750 0.750 Gd
0.250 0.250 0.250 Cu
0.250 0.750 0.750 Cu
0.750 0.250 0.750 Cu
0.750 0.750 0.250 Cu
0.000 0.000 0.500 Ni
0.000 0.500 0.000 Ni
0.500 0.000 0.000 Ni
0.500 0.500 0.500 Ni
```

Results
* total DFT energy (no corrections): -104.58 eV for the cell shown